Record 1
Here is a relaxed AgRuW2 crystal from the Alexandria database. Energies are from PBEsol.

Cell lengths 6.2631, 6.2631, 6.2631 Å; angles 90.00, 90.00, 90.00 degrees
Space group Fm-3m (No. 225)
Inequivalent atoms, fractional coordinates:
Ag 0.0000 0.0000 0.0000
Ru 0.0000 0.0000 0.5000
W 0.2500 0.2500 0.2500

Uncorrected energy: -9.45 eV per atom
Formation energy: 826 meV per atom
M_tot: 0.00 μB/f.u.

***

Record 2
Here is a relaxed AgRuW2 crystal from the Alexandria database. Energies are from PBEsol.

Cell lengths 3.8688, 3.8688, 4.0096 Å; angles 90.00, 90.00, 90.00 degrees
Space group P4/mmm (No. 123)
Inequivalent atoms, fractional coordinates:
Ag 0.0000 0.0000 0.0000
Ru 0.5000 0.5000 0.0000
W 0.0000 0.5000 0.5000

Uncorrected energy: -9.86 eV per atom
Formation energy: 413 meV per atom
M_tot: 0.00 μB/f.u.

***

Record 3
Here is a relaxed AgRu2W crystal from the Alexandria database. Energies are from PBEsol.

Cell lengths 9.2364, 2.7340, 4.7101 Å; angles 90.00, 100.51, 90.00 degrees
Space group Cm (No. 8)
Inequivalent atoms, fractional coordinates:
Ag 0.0000 0.0000 0.0000
Ru 0.2584 0.5000 0.2575
Ru 0.4895 0.0000 0.4944
W 0.2412 0.0000 0.7269

Uncorrected energy: -8.97 eV per atom
Formation energy: 394 meV per atom
M_tot: 0.00 μB/f.u.

***

Q: Which formula does entry 3 have?
A: AgRu2W

***

Copy entry 3 word for word.
Here is a relaxed AgRu2W crystal from the Alexandria database. Energies are from PBEsol.

Cell lengths 9.2364, 2.7340, 4.7101 Å; angles 90.00, 100.51, 90.00 degrees
Space group Cm (No. 8)
Inequivalent atoms, fractional coordinates:
Ag 0.0000 0.0000 0.0000
Ru 0.2584 0.5000 0.2575
Ru 0.4895 0.0000 0.4944
W 0.2412 0.0000 0.7269

Uncorrected energy: -8.97 eV per atom
Formation energy: 394 meV per atom
M_tot: 0.00 μB/f.u.